DFT (PBE+U) results for crystalline VSiP2O at its relaxed geometry.

Computed properties:
V (Å³/f.u.): 80.0
ΔE to the lowest computed polymorph (eV/atom): 0.000

a b c (Å): 4.721 4.721 3.589
angles (deg): 90.00 90.00 90.00
Space group P4/mmm (No. 123)
One atom of each set of equivalent atoms:
V1 0.000 0.000 0.000
Si1 0.500 0.500 0.500
P1 0.000 0.500 0.000
O1 0.000 0.000 0.500